AcNiSn4: relaxed, PBE.

a b c (Å): 8.8207 4.2767 8.2626
angles (deg): 90.00 90.00 90.00
With the nearest neighbours (Å) after each atom.
Space group Pmma (No. 51)
Asymmetric unit:
Ac  0.2500  0.0000  0.1473 (multiplicity 2)  1 Ni 3.39, 12 Sn 3.54-3.72
Ni  0.2500  0.0000  0.7366 (multiplicity 2)  8 Sn 2.73-2.96
Sn  0.0000  0.0000  0.5000 (multiplicity 2)  2 Ni 2.95, 4 Sn 3.07
Sn  0.0776  0.5000  0.8280 (multiplicity 4)  2 Ni 2.73, 1 Sn 3.04
Sn  0.2500  0.5000  0.4892 (multiplicity 2)  2 Ni 2.96, 6 Sn 3.07-3.19

Results
Calculated volume, A^3/atom: 25.97
Formation energy from the elements, kJ/mol of formula units: -172